# CeHoZr2N4 | the Alexandria database | PBE | optimized geometry
# ΔE_f (raw): -1.638 eV/atom
# DOS(E_F): 0.430 states/eV/atom
# VASP energy: -9.252 eV per atom
# size of the total moment: 0.0 μB per formula unit
data_CeHoZr2N4
_chemical_formula_sum 'Ce2 Ho2 Zr4 N8'
_cell_length_a 4.782
_cell_length_b 4.782
_cell_length_c 9.565
_cell_angle_alpha 90.00
_cell_angle_beta 90.00
_cell_angle_gamma 90.00
_symmetry_space_group_name_H-M 'I -4 m 2'
_symmetry_Int_Tables_number 119
_symmetry_space_group_name_Hall 'I -4 -2'
loop_
_atom_site_label
_atom_site_type_symbol
_atom_site_fract_x
_atom_site_fract_y
_atom_site_fract_z
_atom_site_occupancy
Ce1 Ce 0.000 0.000 0.000 1
Ho1 Ho 0.000 0.500 0.250 1
Zr1 Zr 0.000 0.000 0.500 1
Zr2 Zr 0.000 0.500 0.750 1
N1 N 0.000 0.000 0.256 1
N2 N 0.000 0.500 0.505 1

# SbP2Pd7 | the Alexandria database | PBE | optimized geometry
# ΔE_f (raw): -0.274 eV/atom
# DOS(E_F): 0.388 states/eV/atom
# offset from the most stable computed form: 179 meV/atom
# VASP energy: -5.403 eV per atom
# size of the total moment: 0.0 μB per formula unit
data_SbP2Pd7
_chemical_formula_sum 'Sb2 P4 Pd14'
_cell_length_a 7.337
_cell_length_b 11.613
_cell_length_c 4.324
_cell_angle_alpha 90.00
_cell_angle_beta 90.00
_cell_angle_gamma 90.00
_symmetry_space_group_name_H-M 'C m m m'
_symmetry_Int_Tables_number 65
_symmetry_space_group_name_Hall '-C 2 2'
loop_
_atom_site_label
_atom_site_type_symbol
_atom_site_fract_x
_atom_site_fract_y
_atom_site_fract_z
_atom_site_occupancy
Sb1 Sb 0.000 0.000 0.000 1
P1 P 0.000 0.306 0.500 1
Pd1 Pd 0.000 0.240 0.000 1
Pd2 Pd 0.000 0.500 0.500 1
Pd3 Pd 0.188 0.129 0.500 1

# AlHgBi2 | the Alexandria database | PBE | optimized geometry
# DOS(E_F): 0.539 states/eV/atom
# offset from the most stable computed form: 62 meV/atom
# VASP energy: -2.764 eV per atom
# ΔH_f (0 K): 0.187 eV per atom
# size of the total moment: 0.0 μB per formula unit
data_AlHgBi2
_chemical_formula_sum 'Al4 Hg4 Bi8'
_cell_length_a 6.711
_cell_length_b 6.711
_cell_length_c 12.844
_cell_angle_alpha 90.00
_cell_angle_beta 90.00
_cell_angle_gamma 90.00
_symmetry_space_group_name_H-M 'I -4 2 d'
_symmetry_Int_Tables_number 122
_symmetry_space_group_name_Hall 'I -4 2bw'
loop_
_atom_site_label
_atom_site_type_symbol
_atom_site_fract_x
_atom_site_fract_y
_atom_site_fract_z
_atom_site_occupancy
Al1 Al 0.000 0.000 0.000 1
Hg1 Hg 0.000 0.000 0.500 1
Bi1 Bi 0.232 0.250 0.125 1

# CrIn3 | the Alexandria database | PBE | optimized geometry
# DOS(E_F): 0.397 states/eV/atom
# VASP energy: -4.214 eV per atom
# ΔH_f (0 K): 0.246 eV per atom
# size of the total moment: 3.1 μB per formula unit
data_CrIn3
_chemical_formula_sum 'Cr1 In3'
_cell_length_a 3.168
_cell_length_b 3.168
_cell_length_c 8.967
_cell_angle_alpha 90.00
_cell_angle_beta 90.00
_cell_angle_gamma 90.00
_symmetry_space_group_name_H-M 'P 4/m m m'
_symmetry_Int_Tables_number 123
_symmetry_space_group_name_Hall '-P 4 2'
loop_
_atom_site_label
_atom_site_type_symbol
_atom_site_fract_x
_atom_site_fract_y
_atom_site_fract_z
_atom_site_occupancy
Cr1 Cr 0.000 0.000 0.000 1
In1 In 0.000 0.000 0.500 1
In2 In 0.500 0.500 0.203 1

# V4Cr2W3 | the Alexandria database | PBE | optimized geometry
# DOS(E_F): 0.704 states/eV/atom
# offset from the most stable computed form: 0 meV/atom
# VASP energy: -10.572 eV per atom
# ΔH_f (0 K): -0.063 eV per atom
# size of the total moment: 0.0 μB per formula unit
data_V4Cr2W3
_chemical_formula_sum 'V4 Cr2 W3'
_cell_length_a 4.268
_cell_length_b 5.016
_cell_length_c 6.608
_cell_angle_alpha 78.67
_cell_angle_beta 89.98
_cell_angle_gamma 64.97
_symmetry_space_group_name_H-M 'P -1'
_symmetry_Int_Tables_number 2
loop_
_symmetry_equiv_pos_as_xyz
'x,y,z'
'-x,-y,-z'
loop_
_atom_site_label
_atom_site_type_symbol
_atom_site_fract_x
_atom_site_fract_y
_atom_site_fract_z
_atom_site_occupancy
V1 V 0.115 0.270 0.164 1
V2 V 0.330 0.838 0.505 1
Cr1 Cr 0.223 0.054 0.833 1
W1 W 0.000 0.500 0.500 1
W2 W 0.440 0.620 0.165 1

# Rb4AuCl2 | the Alexandria database | PBE | optimized geometry
# ΔE_f (raw): -0.994 eV/atom
# DOS(E_F): 0.344 states/eV/atom
# offset from the most stable computed form: 126 meV/atom
# VASP energy: -2.543 eV per atom
# size of the total moment: 0.0 μB per formula unit
data_Rb4AuCl2
_chemical_formula_sum 'Rb8 Au2 Cl4'
_cell_length_a 6.458
_cell_length_b 6.458
_cell_length_c 17.240
_cell_angle_alpha 90.00
_cell_angle_beta 90.00
_cell_angle_gamma 90.00
_symmetry_space_group_name_H-M 'I 4/m m m'
_symmetry_Int_Tables_number 139
_symmetry_space_group_name_Hall '-I 4 2'
loop_
_atom_site_label
_atom_site_type_symbol
_atom_site_fract_x
_atom_site_fract_y
_atom_site_fract_z
_atom_site_occupancy
Rb1 Rb 0.000 0.000 0.211 1
Rb2 Rb 0.000 0.500 0.000 1
Au1 Au 0.000 0.000 0.000 1
Cl1 Cl 0.000 0.000 0.391 1

# ZnSn3Au3 | the Alexandria database | PBE | optimized geometry
# DOS(E_F): 0.328 states/eV/atom
# offset from the most stable computed form: 30 meV/atom
# VASP energy: -3.371 eV per atom
# ΔH_f (0 K): -0.069 eV per atom
# size of the total moment: 0.0 μB per formula unit
data_ZnSn3Au3
_chemical_formula_sum 'Zn4 Sn12 Au12'
_cell_length_a 8.033
_cell_length_b 11.689
_cell_length_c 6.996
_cell_angle_alpha 90.00
_cell_angle_beta 93.72
_cell_angle_gamma 90.00
_symmetry_space_group_name_H-M 'C 1 2/m 1'
_symmetry_Int_Tables_number 12
loop_
_symmetry_equiv_pos_as_xyz
'x,y,z'
'-x,-y,-z'
'-x,y,-z'
'x,-y,z'
'x+1/2,y+1/2,z'
'-x+1/2,-y+1/2,-z'
'-x+1/2,y+1/2,-z'
'x+1/2,-y+1/2,z'
loop_
_atom_site_label
_atom_site_type_symbol
_atom_site_fract_x
_atom_site_fract_y
_atom_site_fract_z
_atom_site_occupancy
Zn1 Zn 0.223 0.000 0.363 1
Sn1 Sn 0.000 0.143 0.000 1
Sn2 Sn 0.000 0.217 0.500 1
Sn3 Sn 0.041 0.500 0.211 1
Au1 Au 0.115 0.000 0.703 1
Au2 Au 0.194 0.308 0.805 1

# Hf3HgRu | the Alexandria database | PBE | optimized geometry
# DOS(E_F): 1.651 states/eV/atom
# VASP energy: -7.580 eV per atom
# ΔH_f (0 K): 0.308 eV per atom
# size of the total moment: 0.0 μB per formula unit
data_Hf3HgRu
_chemical_formula_sum 'Hf3 Hg1 Ru1'
_cell_length_a 4.961
_cell_length_b 4.961
_cell_length_c 4.961
_cell_angle_alpha 90.00
_cell_angle_beta 90.00
_cell_angle_gamma 90.00
_symmetry_space_group_name_H-M 'P m -3 m'
_symmetry_Int_Tables_number 221
_symmetry_space_group_name_Hall '-P 4 2 3'
loop_
_atom_site_label
_atom_site_type_symbol
_atom_site_fract_x
_atom_site_fract_y
_atom_site_fract_z
_atom_site_occupancy
Hf1 Hf 0.000 0.000 0.500 1
Hg1 Hg 0.500 0.500 0.500 1
Ru1 Ru 0.000 0.000 0.000 1

# RbNaSbPb | the Alexandria database | PBE | optimized geometry
# ΔE_f (raw): -0.136 eV/atom
# DOS(E_F): 0.577 states/eV/atom
# VASP energy: -2.665 eV per atom
# size of the total moment: 0.0 μB per formula unit
data_RbNaSbPb
_chemical_formula_sum 'Rb4 Na4 Sb4 Pb4'
_cell_length_a 8.149
_cell_length_b 8.149
_cell_length_c 8.149
_cell_angle_alpha 90.00
_cell_angle_beta 90.00
_cell_angle_gamma 90.00
_symmetry_space_group_name_H-M 'F -4 3 m'
_symmetry_Int_Tables_number 216
_symmetry_space_group_name_Hall 'F -4 2 3'
loop_
_atom_site_label
_atom_site_type_symbol
_atom_site_fract_x
_atom_site_fract_y
_atom_site_fract_z
_atom_site_occupancy
Rb1 Rb 0.000 0.000 0.000 1
Na1 Na 0.250 0.250 0.750 1
Sb1 Sb 0.000 0.000 0.500 1
Pb1 Pb 0.250 0.250 0.250 1

# YIn2Os | the Alexandria database | PBE | optimized geometry
# DOS(E_F): 1.189 states/eV/atom
# VASP energy: -5.543 eV per atom
# ΔH_f (0 K): 0.250 eV per atom
# size of the total moment: 0.0 μB per formula unit
data_YIn2Os
_chemical_formula_sum 'Y3 In6 Os3'
_cell_length_a 3.3629
_cell_length_b 3.3629
_cell_length_c 28.6253
_cell_angle_alpha 90.00
_cell_angle_beta 90.00
_cell_angle_gamma 120.00
_symmetry_space_group_name_H-M 'R 3 m'
_symmetry_Int_Tables_number 160
_symmetry_space_group_name_Hall 'R 3 -2"'
loop_
_atom_site_label
_atom_site_type_symbol
_atom_site_fract_x
_atom_site_fract_y
_atom_site_fract_z
_atom_site_occupancy
Y1 Y 0.0000 0.0000 0.0000 1
In1 In 0.0000 0.0000 0.5247 1
In2 In 0.0000 0.0000 0.7661 1
Os1 Os 0.0000 0.0000 0.2632 1

Question: Among the records above, which one has the lowest DOS(E_F)?
Answer: ZnSn3Au3